No. 1
Below is a relaxed structure of LiFeCoP, with properties calculated at the PBE-GGA level.

Computed properties:
Calculated formation energy   -0.39 eV/atom
E_tot   -6.109 eV per atom
Symmetry   F-43m

Cell lengths 3.802, 3.802, 3.802 Å; angles 60.00, 60.00, 60.00 degrees
Fractional positions:
Li 0.000 0.000 0.000
Fe 0.750 0.750 0.750
Co 0.250 0.250 0.250
P 0.500 0.500 0.500


No. 2
Below is a relaxed structure of LiFeCoP2, with properties calculated at the PBE-GGA level.

Computed properties:
Calculated formation energy   -0.64 eV/atom
E_tot   -6.304 eV per atom
Symmetry   I-4m2

Cell lengths 5.288, 5.288, 5.288 Å; angles 138.91, 138.91, 59.52 degrees
Fractional positions:
Li 0.000 0.000 0.000
Fe 0.250 0.750 0.500
Co 0.750 0.250 0.500
P 0.377 0.377 0.000
P 0.623 0.623 0.000


No. 3
Below is a relaxed structure of LiFeCo2Pd, with properties calculated at the PBE-GGA level.

Computed properties:
Calculated formation energy   1.18 eV/atom
E_tot   -4.771 eV per atom
Symmetry   P4/mmm

Cell lengths 4.584, 4.584, 4.188 Å; angles 90.00, 90.00, 90.00 degrees
Fractional positions:
Li 0.000 0.000 0.000
Fe 0.500 0.500 0.000
Co 0.000 0.500 0.500
Co 0.500 0.000 0.500
Pd 0.000 0.000 0.500


No. 4
Below is a relaxed structure of LiPuFeCo, with properties calculated at the PBE-GGA level.

Computed properties:
Calculated formation energy   0.16 eV/atom
E_tot   -7.793 eV per atom
Symmetry   F-43m

Cell lengths 4.316, 4.316, 4.316 Å; angles 60.00, 60.00, 60.00 degrees
Fractional positions:
Li 0.000 0.000 0.000
Pu 0.500 0.500 0.500
Fe 0.750 0.750 0.750
Co 0.250 0.250 0.250


No. 5
Below is a relaxed structure of LiFeCoRe, with properties calculated at the PBE-GGA level.

Computed properties:
Calculated formation energy   0.17 eV/atom
E_tot   -7.312 eV per atom
Symmetry   F-43m

Cell lengths 4.043, 4.043, 4.043 Å; angles 60.00, 60.00, 60.00 degrees
Fractional positions:
Li 0.000 0.000 0.000
Fe 0.750 0.750 0.750
Co 0.250 0.250 0.250
Re 0.500 0.500 0.500


No. 6
Below is a relaxed structure of LiFeCoRh, with properties calculated at the PBE-GGA level.

Computed properties:
Calculated formation energy   0.01 eV/atom
E_tot   -6.197 eV per atom
Symmetry   F-43m

Cell lengths 4.095, 4.095, 4.095 Å; angles 60.00, 60.00, 60.00 degrees
Fractional positions:
Li 0.000 0.000 0.000
Fe 0.500 0.500 0.500
Co 0.750 0.750 0.750
Rh 0.250 0.250 0.250


No. 7
Below is a relaxed structure of LiFeCo2Tc, with properties calculated at the PBE-GGA level.

Computed properties:
Calculated formation energy   1.06 eV/atom
E_tot   -5.930 eV per atom
Symmetry   P4/mmm

Cell lengths 4.367, 4.367, 4.309 Å; angles 90.00, 90.00, 90.00 degrees
Fractional positions:
Li 0.000 0.000 0.000
Fe 0.500 0.500 0.500
Co 0.000 0.500 0.500
Co 0.500 0.000 0.500
Tc 0.500 0.500 0.000


No. 8
Below is a relaxed structure of LiTlFeCo2, with properties calculated at the PBE-GGA level.

Computed properties:
Calculated formation energy   1.52 eV/atom
E_tot   -3.871 eV per atom
Symmetry   P4/mmm

Cell lengths 4.880, 4.880, 4.952 Å; angles 90.00, 90.00, 90.00 degrees
Fractional positions:
Li 0.000 0.000 0.000
Tl 0.500 0.500 0.500
Fe 0.500 0.500 0.000
Co 0.000 0.500 0.500
Co 0.500 0.000 0.500


No. 9
Below is a relaxed structure of LiTlFeCo2, with properties calculated at the PBE-GGA level.

Computed properties:
Calculated formation energy   0.89 eV/atom
E_tot   -4.503 eV per atom
Symmetry   P4/mmm

Cell lengths 4.225, 4.225, 4.471 Å; angles 90.00, 90.00, 90.00 degrees
Fractional positions:
Li 0.000 0.000 0.000
Tl 0.500 0.500 0.000
Fe 0.000 0.000 0.500
Co 0.000 0.500 0.500
Co 0.500 0.000 0.500


No. 10
Below is a relaxed structure of Lu2FeCo, with properties calculated at the PBE-GGA level.

Computed properties:
Calculated formation energy   -0.09 eV/atom
E_tot   -6.243 eV per atom
Symmetry   P4/mmm

Cell lengths 3.308, 3.308, 6.500 Å; angles 90.00, 90.00, 90.00 degrees
Fractional positions:
Lu 0.000 0.000 0.246
Lu 0.000 0.000 0.754
Fe 0.500 0.500 0.500
Co 0.500 0.500 0.000


No. 11
Below is a relaxed structure of Lu2FeCo, with properties calculated at the PBE-GGA level.

Computed properties:
Calculated formation energy   -0.07 eV/atom
E_tot   -6.222 eV per atom
Symmetry   Fm-3m

Cell lengths 4.593, 4.593, 4.593 Å; angles 60.00, 60.00, 60.00 degrees
Fractional positions:
Lu 0.250 0.250 0.250
Lu 0.750 0.750 0.750
Fe 0.000 0.000 0.000
Co 0.500 0.500 0.500


No. 12
Below is a relaxed structure of LuFeCo, with properties calculated at the PBE-GGA level.

Computed properties:
Calculated formation energy   -0.14 eV/atom
E_tot   -6.838 eV per atom
Symmetry   P-6m2

Cell lengths 3.830, 3.830, 3.943 Å; angles 90.00, 90.00, 120.00 degrees
Fractional positions:
Lu 0.000 0.000 0.000
Fe 0.333 0.667 0.500
Co 0.667 0.333 0.500